# 1
# Li2WBr, relaxed, DFT PBE
data_Li2WBr
_symmetry_space_group_name_H-M 'P 1'
_symmetry_Int_Tables_number 1
_cell_length_a 8.8504
_cell_length_b 8.8504
_cell_length_c 8.8504
_cell_angle_alpha 19.56
_cell_angle_beta 19.56
_cell_angle_gamma 19.56
loop_
_symmetry_equiv_pos_as_xyz
'x,y,z'
loop_
_atom_site_label
_atom_site_fract_x
_atom_site_fract_y
_atom_site_fract_z
Li1 0.2393 0.2393 0.2393
Li2 0.7607 0.7607 0.7607
W1 0.0000 0.0000 0.0000
Br1 0.5000 0.5000 0.5000
# E = -4.477 eV/atom
# Offset from the most stable computed form = 0 meV per atom
# Size of the total moment = 0.39 μB/cell
# N(E_F) = 3.1 states/eV/cell

---

# 2
# LiWBr2, relaxed, DFT PBE
data_LiWBr2
_symmetry_space_group_name_H-M 'P 1'
_symmetry_Int_Tables_number 1
_cell_length_a 4.6235
_cell_length_b 4.6235
_cell_length_c 4.6235
_cell_angle_alpha 60.00
_cell_angle_beta 60.00
_cell_angle_gamma 60.00
loop_
_symmetry_equiv_pos_as_xyz
'x,y,z'
loop_
_atom_site_label
_atom_site_fract_x
_atom_site_fract_y
_atom_site_fract_z
Li1 0.0000 0.0000 0.0000
W1 0.5000 0.5000 0.5000
Br1 0.2500 0.2500 0.2500
Br2 0.7500 0.7500 0.7500
# E = -4.003 eV/atom
# Offset from the most stable computed form = 510 meV per atom
# Size of the total moment = 1.00 μB/cell
# N(E_F) = 1.3 states/eV/cell

---

# 3
# Li3WBr, relaxed, DFT PBE
data_Li3WBr
_symmetry_space_group_name_H-M 'P 1'
_symmetry_Int_Tables_number 1
_cell_length_a 4.8150
_cell_length_b 4.8150
_cell_length_c 4.8150
_cell_angle_alpha 90.00
_cell_angle_beta 90.00
_cell_angle_gamma 90.00
loop_
_symmetry_equiv_pos_as_xyz
'x,y,z'
loop_
_atom_site_label
_atom_site_fract_x
_atom_site_fract_y
_atom_site_fract_z
Li1 0.0000 0.0000 0.5000
Li2 0.0000 0.5000 0.0000
Li3 0.5000 0.0000 0.0000
W1 0.5000 0.5000 0.5000
Br1 0.0000 0.0000 0.0000
# E = -3.369 eV/atom
# Offset from the most stable computed form = 0 meV per atom
# Size of the total moment = 4.85 μB/cell
# N(E_F) = 5.2 states/eV/cell

---

# 4
# Li2WBr, relaxed, DFT PBE
data_Li2WBr
_symmetry_space_group_name_H-M 'P 1'
_symmetry_Int_Tables_number 1
_cell_length_a 8.0019
_cell_length_b 8.0019
_cell_length_c 8.0019
_cell_angle_alpha 158.42
_cell_angle_beta 157.87
_cell_angle_gamma 31.11
loop_
_symmetry_equiv_pos_as_xyz
'x,y,z'
loop_
_atom_site_label
_atom_site_fract_x
_atom_site_fract_y
_atom_site_fract_z
Li1 0.0000 0.0000 0.0000
Li2 0.6499 0.1499 0.5000
W1 0.2628 0.7628 0.5000
Br1 0.4107 0.4107 0.0000
# E = -4.162 eV/atom
# Offset from the most stable computed form = 315 meV per atom
# Size of the total moment = 0.00 μB/cell
# N(E_F) = 1.6 states/eV/cell

---

# 5
# LiWBr6, relaxed, DFT PBE
data_LiWBr6
_symmetry_space_group_name_H-M 'P 1'
_symmetry_Int_Tables_number 1
_cell_length_a 7.0599
_cell_length_b 7.0599
_cell_length_c 6.9742
_cell_angle_alpha 102.44
_cell_angle_beta 102.44
_cell_angle_gamma 120.57
loop_
_symmetry_equiv_pos_as_xyz
'x,y,z'
loop_
_atom_site_label
_atom_site_fract_x
_atom_site_fract_y
_atom_site_fract_z
Li1 0.0000 0.0000 0.0000
W1 0.5000 0.5000 0.5000
Br1 0.1125 0.4048 0.2575
Br2 0.2912 0.2912 0.7081
Br3 0.4048 0.1125 0.2575
Br4 0.5952 0.8875 0.7425
Br5 0.7088 0.7088 0.2919
Br6 0.8875 0.5952 0.7425
# E = -3.800 eV/atom
# Offset from the most stable computed form = 0 meV per atom
# Size of the total moment = 1.01 μB/cell
# N(E_F) = 3.9 states/eV/cell

---

# 6
# LiW2Br, relaxed, DFT PBE
data_LiW2Br
_symmetry_space_group_name_H-M 'P 1'
_symmetry_Int_Tables_number 1
_cell_length_a 5.3544
_cell_length_b 5.3544
_cell_length_c 5.3544
_cell_angle_alpha 145.55
_cell_angle_beta 124.07
_cell_angle_gamma 67.36
loop_
_symmetry_equiv_pos_as_xyz
'x,y,z'
loop_
_atom_site_label
_atom_site_fract_x
_atom_site_fract_y
_atom_site_fract_z
Li1 0.0000 0.0000 0.0000
W1 0.2894 0.7894 0.5000
W2 0.5039 0.5039 0.0000
Br1 0.7584 0.2584 0.5000
# E = -6.448 eV/atom
# Offset from the most stable computed form = 700 meV per atom
# Size of the total moment = 0.00 μB/cell
# N(E_F) = 1.8 states/eV/cell

---

Number 1: uncorrected formation energy 137 meV/atom. Number 2: uncorrected formation energy 550 meV/atom. Number 3: uncorrected formation energy 705 meV/atom. Number 4: uncorrected formation energy 451 meV/atom. Number 5: uncorrected formation energy -687 meV/atom. Number 6: uncorrected formation energy 925 meV/atom.